ReP2Se: relaxed, GGA-PBE.

The structure in POSCAR format:
```
ReP2Se
1.0
1.544 0.891 7.952
-1.544 0.891 7.952
0.000 -1.783 7.952
Re P Se
1 2 1
direct
0.000 0.000 0.000 Re
0.264 0.264 0.264 P
0.736 0.736 0.736 P
0.500 0.500 0.500 Se
```

Values from the calculation:
D(E_F) in states/eV/cell: 1.61
Total magnetic moment in μB/f.u.: 0.00
Symmetry: No. 166
Formation energy (no corrections) in eV per atom: 0.1275